Run w
K2Hg2O5 | GGA-PBE | relaxed

a b c (Å): 8.981 4.106 4.106
angles (deg): 90.00 90.00 90.00
Sites, in units of the cell vectors:
O1 0.500 0.500 0.500
O2 0.207 0.000 0.500
O3 0.207 0.500 0.000
O4 0.793 0.000 0.500
O5 0.793 0.500 0.000
K1 0.500 0.000 0.000
K2 0.000 0.000 0.000
Hg1 0.258 0.500 0.500
Hg2 0.742 0.500 0.500

***

Run x
K2Hg2O5 | GGA-PBE | relaxed

a b c (Å): 4.701 4.701 7.587
angles (deg): 90.00 90.00 90.00
Sites, in units of the cell vectors:
O1 0.000 0.500 0.598
O2 0.500 0.000 0.402
O3 0.500 0.500 0.500
O4 0.500 0.000 0.598
O5 0.000 0.500 0.402
Hg1 0.000 0.000 0.500
Hg2 0.000 0.000 0.000
K1 0.500 0.500 0.204
K2 0.500 0.500 0.796

***

Of them, the most stable is run w and the least stable is run x.